A geometry-optimized Na2TbBr5 structure, computed with PBE-GGA.

Results
Total energy = -3.6450 eV per atom
ΔE_f (raw) = -1691 meV/atom
N(E_F) = 0.00 states/eV/cell
Spin magnetization = 0.0 μB per cell

POSCAR file:
```
Na2TbBr5
1.0
-4.755 -0.818 -2.969
6.064 -3.762 -3.270
-2.943 -11.625 7.916
Br Tb Na
10 2 4
Direct
0.045 0.091 0.121 Br
0.955 0.909 0.879 Br
0.693 0.386 0.905 Br
0.281 0.561 0.750 Br
0.693 0.386 0.595 Br
0.719 0.439 0.250 Br
0.307 0.614 0.405 Br
0.955 0.909 0.621 Br
0.307 0.614 0.095 Br
0.045 0.091 0.379 Br
0.184 0.368 0.250 Tb
0.816 0.632 0.750 Tb
0.852 0.703 0.055 Na
0.852 0.703 0.445 Na
0.148 0.297 0.555 Na
0.148 0.297 0.945 Na
```